This record from the Alexandria database describes WAuO2 after structural relaxation. The functional is PBE with a Hubbard U.

a b c (Å): 9.545 9.545 9.545
angles (deg): 18.78 18.78 18.78
Fractional coordinates of all 4 atoms:
W 0.000 0.000 0.000
Au 0.500 0.500 0.500
O 0.371 0.371 0.371
O 0.629 0.629 0.629

Summary:
- E above lowest polymorph: 0.0000 eV per atom